# GGA-PBE Hg5PtPb2, relaxed
# Total magnetization in μB per atom: 0.0000
# ΔH_f (0 K) in eV per atom: 0.0100
data_Hg5PtPb2
_cell_length_a 5.965
_cell_length_b 6.142
_cell_length_c 6.309
_cell_angle_alpha 108.06
_cell_angle_beta 92.53
_cell_angle_gamma 107.32
_space_group_name_H-M_alt 'P 1'
_space_group_IT_number 1
_space_group_name_Hall 'P 1'
loop_
_atom_site_label
_atom_site_type_symbol
_atom_site_fract_x
_atom_site_fract_y
_atom_site_fract_z
Hg1 Hg 0.000 0.000 0.000
Hg2 Hg 0.064 0.550 0.203
Hg3 Hg 0.480 0.691 0.955
Hg4 Hg 0.562 0.245 0.027
Hg5 Hg 0.895 0.425 0.661
Pt1 Pt 0.260 0.850 0.648
Pb1 Pb 0.325 0.236 0.483
Pb2 Pb 0.700 0.849 0.476